SrTe3 | PBE-GGA | relaxed

Results
**Space-group type**: R-3m (166)

POSCAR file:
```
SrTe3
1.0
-2.8525 4.6652 -1.7176
-3.3541 -4.6128 -0.5681
1.5185 0.5986 5.4942
Te Sr
3 1
Direct
0.5000 0.0000 0.5000 Te
0.0000 0.5000 0.5000 Te
0.5000 0.5000 0.0000 Te
0.0000 0.0000 0.0000 Sr
```

Sr5Te | PBE-GGA | relaxed

Results
**Space-group type**: Amm2 (38)

POSCAR file:
```
Sr5Te
1.0
2.3511 -9.3059 0.0000
2.3511 9.3059 0.0000
0.0000 0.0000 6.3907
Sr Te
5 1
Direct
0.6389 0.3611 0.0000 Sr
0.9676 0.0324 0.0000 Sr
0.7834 0.2166 0.5000 Sr
0.4944 0.5056 0.5000 Sr
0.3099 0.6901 0.0000 Sr
0.1391 0.8609 0.5000 Te
```

Sr3Te5 | PBE-GGA | relaxed

Results
**Space-group type**: Cm (8)

POSCAR file:
```
Sr3Te5
1.0
9.4648 0.0402 0.0000
-7.3714 7.0176 0.0000
-1.0467 -3.5289 9.3219
Te Sr
10 6
Direct
0.2984 0.4829 0.7140 Te
0.7391 0.5981 0.3459 Te
0.0844 0.2688 0.2860 Te
0.2927 0.5298 0.1239 Te
0.3065 0.8583 0.5000 Te
0.6769 0.3986 0.8820 Te
0.8931 0.7522 0.6541 Te
0.6688 0.9060 0.8761 Te
0.7405 0.1717 0.5000 Te
0.2949 0.0166 0.1180 Te
0.2246 0.1971 0.9071 Sr
0.1433 0.6785 0.8180 Sr
0.5431 0.7353 0.5000 Sr
0.8253 0.3604 0.1820 Sr
0.4442 0.2558 0.5000 Sr
0.8175 0.7900 0.0929 Sr
```

SrTe3 | PBE-GGA | relaxed

Results
**Space-group type**: P2/m (10)

POSCAR file:
```
SrTe3
1.0
4.1841 0.0000 0.0000
0.0000 4.6182 -0.0029
0.0000 2.7613 7.1841
Te Sr
3 1
Direct
0.5000 0.3971 0.2395 Te
0.5000 0.6029 0.7605 Te
0.0000 0.5000 0.5000 Te
0.0000 0.0000 0.0000 Sr
```

SrTe3 | PBE-GGA | relaxed

Results
**Space-group type**: Pnma (62)

POSCAR file:
```
SrTe3
1.0
-7.7381 -3.4621 -3.7950
-1.0594 -4.8031 6.5420
-4.4174 5.9050 3.6200
Sr Te
4 12
Direct
0.6081 0.9166 0.7500 Sr
0.1081 0.5834 0.2500 Sr
0.8919 0.4166 0.7500 Sr
0.3919 0.0834 0.2500 Sr
0.6336 0.2504 0.9958 Te
0.2596 0.4399 0.7500 Te
0.1336 0.2496 0.4958 Te
0.3664 0.7496 0.0042 Te
0.7404 0.5601 0.2500 Te
0.8664 0.7504 0.5042 Te
0.6336 0.2504 0.5042 Te
0.7596 0.0601 0.2500 Te
0.2404 0.9399 0.7500 Te
0.8664 0.7504 0.9958 Te
0.1336 0.2496 0.0042 Te
0.3664 0.7496 0.4958 Te
```

Sr2Te | PBE-GGA | relaxed

Results
**Space-group type**: P-3m1 (164)

POSCAR file:
```
Sr2Te
1.0
-0.2772 1.0627 4.4378
-3.0607 -2.8368 -1.8666
4.4746 -5.9490 1.7040
Te Sr
1 2
Direct
0.0000 0.0000 0.0000 Te
0.3333 0.6667 0.2662 Sr
0.6667 0.3333 0.7338 Sr
```

SrTe | PBE-GGA | relaxed

Results
**Space-group type**: I4/mcm (140)

POSCAR file:
```
SrTe
1.0
-0.8073 -10.7056 3.3257
10.8980 0.0321 2.7487
-1.5510 2.0199 6.1257
Te Sr
8 8
Direct
0.3504 0.1496 0.0000 Te
0.6496 0.1496 0.5000 Te
0.8504 0.3504 0.0000 Te
0.8504 0.6496 0.5000 Te
0.3504 0.8504 0.5000 Te
0.6496 0.8504 0.0000 Te
0.1496 0.6496 0.0000 Te
0.1496 0.3504 0.5000 Te
0.6439 0.1439 0.0000 Sr
0.3561 0.1439 0.5000 Sr
0.3561 0.8561 0.0000 Sr
0.6439 0.8561 0.5000 Sr
0.1439 0.3561 0.0000 Sr
0.8561 0.6439 0.0000 Sr
0.1439 0.6439 0.5000 Sr
0.8561 0.3561 0.5000 Sr
```

Sr5Te3 | PBE-GGA | relaxed

Results
**Space-group type**: Cm (8)

POSCAR file:
```
Sr5Te3
1.0
-8.6708 -1.9492 3.9811
9.0898 -1.5444 3.3535
-0.2570 9.7709 0.1564
Sr Te
10 6
Direct
0.9320 0.7832 0.7178 Sr
0.2555 0.7526 0.4997 Sr
0.7513 0.2524 0.4999 Sr
0.2198 0.9371 0.1482 Sr
0.0620 0.2103 0.2828 Sr
0.5718 0.2891 0.8518 Sr
0.7140 0.5654 0.2823 Sr
0.7864 0.0701 0.8529 Sr
0.4333 0.7170 0.1472 Sr
0.2793 0.4278 0.7174 Sr
0.2507 0.2528 0.0013 Te
0.0397 0.5389 0.8612 Te
0.4596 0.3207 0.5002 Te
0.6782 0.1774 0.1386 Te
0.7493 0.7517 0.9987 Te
0.8103 0.9536 0.5001 Te
```

SrTe | PBE-GGA | relaxed

Results
**Space-group type**: F-43m (216)

POSCAR file:
```
SrTe
1.0
-1.4836 0.9319 -7.2576
-5.7441 -4.7358 0.5661
-4.5329 5.6962 1.6580
Te Sr
4 4
Direct
0.5000 0.5000 0.0000 Te
0.0000 0.5000 0.5000 Te
0.5000 0.0000 0.5000 Te
0.0000 0.0000 0.0000 Te
0.7500 0.7500 0.2500 Sr
0.2500 0.7500 0.7500 Sr
0.2500 0.2500 0.2500 Sr
0.7500 0.2500 0.7500 Sr
```

Sr2Te | PBE-GGA | relaxed

Results
**Space-group type**: I4/mmm (139)

POSCAR file:
```
Sr2Te
1.0
7.7194 -0.6795 1.0972
6.0474 4.8963 0.8433
-7.2926 -2.0997 1.9142
Te Sr
1 2
Direct
0.5000 0.5000 0.0000 Te
0.1339 0.1339 0.0000 Sr
0.8661 0.8661 0.0000 Sr
```

Sr4Te3 | PBE-GGA | relaxed

Results
**Space-group type**: R-3m (166)

POSCAR file:
```
Sr4Te3
1.0
4.5893 0.0000 0.9237
2.2017 4.0267 0.9237
-0.7340 -0.4352 15.5092
Te Sr
3 4
Direct
0.2476 0.2476 0.2572 Te
0.7524 0.7524 0.7428 Te
0.0000 0.0000 0.0000 Te
0.8715 0.8715 0.3854 Sr
0.6242 0.6242 0.1275 Sr
0.3758 0.3758 0.8725 Sr
0.1285 0.1285 0.6146 Sr
```

Sr5Te | PBE-GGA | relaxed

Results
**Space-group type**: C2/m (12)

POSCAR file:
```
Sr5Te
1.0
2.1173 7.2323 0.0158
-2.1173 7.2323 0.0158
0.0000 3.9651 9.4900
Te Sr
1 5
Direct
0.6946 0.6946 0.1109 Te
0.3206 0.3206 0.2386 Sr
0.6944 0.6944 0.6112 Sr
0.3680 0.3680 0.8189 Sr
0.0682 0.0682 0.9836 Sr
0.0209 0.0209 0.4034 Sr
```

Number 1: formation energy without anion corrections -736 meV per atom, raw total energy -3.51 eV/atom. Number 2: formation energy without anion corrections -356 meV per atom, raw total energy -2.28 eV/atom. Number 3: formation energy without anion corrections -1094 meV per atom, raw total energy -3.69 eV/atom. Number 4: formation energy without anion corrections -727 meV per atom, raw total energy -3.50 eV/atom. Number 5: formation energy without anion corrections -780 meV per atom, raw total energy -3.56 eV/atom. Number 6: formation energy without anion corrections -1053 meV per atom, raw total energy -3.22 eV/atom. Number 7: formation energy without anion corrections -1599 meV per atom, raw total energy -4.01 eV/atom. Number 8: formation energy without anion corrections -1083 meV per atom, raw total energy -3.31 eV/atom. Number 9: formation energy without anion corrections -1470 meV per atom, raw total energy -3.88 eV/atom. Number 10: formation energy without anion corrections -1010 meV per atom, raw total energy -3.18 eV/atom. Number 11: formation energy without anion corrections -1445 meV per atom, raw total energy -3.75 eV/atom. Number 12: formation energy without anion corrections -466 meV per atom, raw total energy -2.39 eV/atom.